1.
AlH2Ir: optimized geometry, PBE-GGA.

```
AlH2Ir
1.0
5.2421 0.0000 0.0000
0.0000 5.2421 0.0000
0.0000 0.0000 5.2421
Al H Ir
4 8 4
Direct
0.0000 0.0000 0.0000 Al
0.0000 0.5000 0.5000 Al
0.5000 0.0000 0.5000 Al
0.5000 0.5000 0.0000 Al
0.2500 0.2500 0.2500 H
0.2500 0.2500 0.7500 H
0.2500 0.7500 0.2500 H
0.2500 0.7500 0.7500 H
0.7500 0.2500 0.2500 H
0.7500 0.2500 0.7500 H
0.7500 0.7500 0.2500 H
0.7500 0.7500 0.7500 H
0.0000 0.0000 0.5000 Ir
0.0000 0.5000 0.0000 Ir
0.5000 0.0000 0.0000 Ir
0.5000 0.5000 0.5000 Ir
```

total DFT energy (no corrections): -4.3528 eV/atom
density of states at the Fermi level: 1.341 states/eV/f.u.
V: 9.0 A^3/atom
magnetic moment: 0.00 μB per formula unit

2.
InPd2O: optimized geometry, PBE-GGA.

```
InPd2O
1.0
6.2347 0.0000 0.0000
0.0000 6.2347 0.0000
0.0000 0.0000 6.2347
In Pd O
4 8 4
Direct
0.0000 0.0000 0.0000 In
0.0000 0.5000 0.5000 In
0.5000 0.0000 0.5000 In
0.5000 0.5000 0.0000 In
0.2500 0.2500 0.2500 Pd
0.2500 0.2500 0.7500 Pd
0.2500 0.7500 0.2500 Pd
0.2500 0.7500 0.7500 Pd
0.7500 0.2500 0.2500 Pd
0.7500 0.2500 0.7500 Pd
0.7500 0.7500 0.2500 Pd
0.7500 0.7500 0.7500 Pd
0.0000 0.0000 0.5000 O
0.0000 0.5000 0.0000 O
0.5000 0.0000 0.0000 O
0.5000 0.5000 0.5000 O
```

density of states at the Fermi level: 8.312 states/eV/f.u.
formation energy (no corrections): 0.00 eV/atom
V: 15.1 A^3/atom
magnetic moment: 0.00 μB per formula unit

3.
PbSe2Br: optimized geometry, PBE-GGA.

```
PbSe2Br
1.0
4.1765 0.0000 0.0000
0.0000 4.1765 0.0000
0.0000 0.0000 6.0810
Pb Se Br
1 2 1
Direct
0.0000 0.0000 0.0000 Pb
0.0000 0.5000 0.5000 Se
0.5000 0.0000 0.5000 Se
0.5000 0.5000 0.0000 Br
```

density of states at the Fermi level: 1.044 states/eV/f.u.
formation energy (no corrections): -0.12 eV/atom
V: 26.5 A^3/atom
magnetic moment: 0.00 μB per formula unit

4.
Li5Cd2In: optimized geometry, PBE-GGA.

```
Li5Cd2In
1.0
4.6092 0.0000 0.0000
0.0000 4.6092 0.0000
0.0000 0.0000 13.7968
Li Cd In
10 4 2
Direct
0.0000 0.0000 0.0000 Li
0.0000 0.5000 0.1249 Li
0.0000 0.5000 0.3751 Li
0.0000 0.5000 0.6249 Li
0.0000 0.5000 0.8751 Li
0.5000 0.0000 0.1249 Li
0.5000 0.0000 0.3751 Li
0.5000 0.0000 0.6249 Li
0.5000 0.0000 0.8751 Li
0.5000 0.5000 0.5000 Li
0.0000 0.0000 0.2536 Cd
0.0000 0.0000 0.7464 Cd
0.5000 0.5000 0.2464 Cd
0.5000 0.5000 0.7536 Cd
0.0000 0.0000 0.5000 In
0.5000 0.5000 0.0000 In
```

density of states at the Fermi level: 2.706 states/eV/f.u.
V: 18.3 A^3/atom
E_form: -0.25 eV per atom
magnetic moment: 0.00 μB per formula unit

5.
MnTcOs2: optimized geometry, PBE-GGA.

```
MnTcOs2
1.0
2.7000 0.0000 0.0000
-1.3500 2.3383 0.0000
0.0000 0.0000 26.1738
Mn Tc Os
3 3 6
Direct
0.0000 0.0000 0.0000 Mn
0.3333 0.6667 0.6667 Mn
0.6667 0.3333 0.3333 Mn
0.0000 0.0000 0.7481 Tc
0.3333 0.6667 0.4148 Tc
0.6667 0.3333 0.0815 Tc
0.0000 0.0000 0.2548 Os
0.0000 0.0000 0.5004 Os
0.3333 0.6667 0.1670 Os
0.3333 0.6667 0.9214 Os
0.6667 0.3333 0.5881 Os
0.6667 0.3333 0.8337 Os
```

density of states at the Fermi level: 3.797 states/eV/f.u.
V: 13.8 A^3/atom
E_form: 0.14 eV per atom
magnetic moment: 0.91 μB per formula unit

6.
Sr3LiCd3: optimized geometry, PBE-GGA.

```
Sr3LiCd3
1.0
6.1195 -2.4803 0.0000
6.1195 2.4803 0.0000
-5.8425 0.0000 15.4453
Sr Li Cd
6 2 6
Direct
0.0299 0.0299 0.3830 Sr
0.1062 0.1062 0.9222 Sr
0.2499 0.2499 0.2300 Sr
0.7501 0.7501 0.7700 Sr
0.8938 0.8938 0.0778 Sr
0.9701 0.9701 0.6170 Sr
0.2588 0.2588 0.5915 Li
0.7412 0.7412 0.4085 Li
0.3664 0.3664 0.4543 Cd
0.3925 0.3925 0.9221 Cd
0.4556 0.4556 0.7621 Cd
0.5444 0.5444 0.2379 Cd
0.6075 0.6075 0.0779 Cd
0.6336 0.6336 0.5457 Cd
```

density of states at the Fermi level: 5.706 states/eV/f.u.
V: 33.5 A^3/atom
E_form: -0.27 eV per atom
magnetic moment: 0.00 μB per formula unit

7.
TaNiRh2: optimized geometry, PBE-GGA.

```
TaNiRh2
1.0
2.7705 0.0000 0.0000
0.0000 2.7705 0.0000
0.0000 0.0000 7.5053
Ta Ni Rh
1 1 2
Direct
0.0000 0.0000 0.0000 Ta
0.5000 0.5000 0.2451 Ni
0.0000 0.0000 0.4766 Rh
0.5000 0.5000 0.7335 Rh
```

density of states at the Fermi level: 7.156 states/eV/f.u.
V: 14.4 A^3/atom
E_form: -0.12 eV per atom
magnetic moment: 0.79 μB per formula unit

8.
In2CuPH: optimized geometry, PBE-GGA.

```
In2CuPH
1.0
5.0422 0.0000 0.0000
0.0000 5.0422 0.0000
0.0000 0.0000 3.3711
In Cu P H
2 1 1 1
Direct
0.0000 0.5000 0.0000 In
0.5000 0.0000 0.0000 In
0.0000 0.0000 0.5000 Cu
0.5000 0.5000 0.5000 P
0.0000 0.0000 0.0000 H
```

total DFT energy (no corrections): -3.3143 eV/atom
density of states at the Fermi level: 1.518 states/eV/f.u.
V: 17.1 A^3/atom
magnetic moment: 0.00 μB per formula unit

9.
ScBe2B6: optimized geometry, PBE-GGA.

```
ScBe2B6
1.0
-1.5594 2.6621 4.2037
1.5594 -2.6621 4.2037
1.5594 2.6621 -4.2037
Sc Be B
1 2 6
Direct
0.0000 0.0000 0.0000 Sc
0.3806 0.8806 0.5000 Be
0.6194 0.1194 0.5000 Be
0.0111 0.3058 0.7053 B
0.3397 0.5000 0.8397 B
0.3995 0.6942 0.7053 B
0.6005 0.3058 0.2947 B
0.6603 0.5000 0.1603 B
0.9889 0.6942 0.2947 B
```

density of states at the Fermi level: 1.123 states/eV/f.u.
V: 7.8 A^3/atom
E_form: -0.16 eV per atom
magnetic moment: 0.00 μB per formula unit

10.
La3ErTm7: optimized geometry, PBE-GGA.

```
La3ErTm7
1.0
7.0235 0.0000 0.0000
-3.5117 6.0825 0.0000
0.0000 0.0000 8.7002
La Er Tm
3 1 7
Direct
0.9999 0.4999 0.0000 La
0.5001 0.0001 0.0000 La
0.5001 0.4999 0.0000 La
0.3333 0.6667 0.3413 Er
0.1672 0.3344 0.6591 Tm
0.1672 0.8328 0.6591 Tm
0.3344 0.1672 0.3414 Tm
0.6656 0.8328 0.6591 Tm
0.6667 0.3333 0.6588 Tm
0.8328 0.1672 0.3414 Tm
0.8328 0.6656 0.3414 Tm
```

density of states at the Fermi level: 17.486 states/eV/f.u.
V: 33.8 A^3/atom
E_form: 0.18 eV per atom
magnetic moment: 0.00 μB per formula unit

11.
ZnFe2Pt: optimized geometry, PBE-GGA.

```
ZnFe2Pt
1.0
2.7897 0.0000 0.0000
0.0000 3.4393 0.0000
0.0000 0.0000 5.5800
Zn Fe Pt
1 2 1
Direct
0.0000 0.0000 0.0000 Zn
0.0000 0.0000 0.5275 Fe
0.5000 0.5000 0.7523 Fe
0.5000 0.5000 0.2598 Pt
```

density of states at the Fermi level: 3.011 states/eV/f.u.
V: 13.4 A^3/atom
E_form: -0.17 eV per atom
magnetic moment: 5.53 μB per formula unit

12.
Ac3In2GaPd6: optimized geometry, PBE-GGA.

```
Ac3In2GaPd6
1.0
5.9868 0.0000 0.0000
-2.9934 5.1847 0.0000
0.0000 0.0000 9.0233
Ac In Ga Pd
3 2 1 6
Direct
0.0000 0.0000 0.0000 Ac
0.3333 0.6667 0.6301 Ac
0.6667 0.3333 0.3699 Ac
0.3333 0.6667 0.0346 In
0.6667 0.3333 0.9654 In
0.0000 0.0000 0.5000 Ga
0.1732 0.3463 0.2954 Pd
0.1732 0.8268 0.2954 Pd
0.3463 0.1732 0.7046 Pd
0.6537 0.8268 0.2954 Pd
0.8268 0.1732 0.7046 Pd
0.8268 0.6537 0.7046 Pd
```

density of states at the Fermi level: 3.374 states/eV/f.u.
V: 23.3 A^3/atom
E_form: -0.71 eV per atom
magnetic moment: 0.00 μB per formula unit